Here is LaTbErAl after structural relaxation from Alexandria via LeMat-Bulk. Energies are from PBE.

POSCAR file:
```
LaTbErAl
1.0
3.542 0.000 0.000
0.000 3.542 0.000
0.000 0.000 9.195
La Tb Er Al
1 1 1 1
direct
0.000 0.000 0.000 La
0.500 0.500 0.702 Tb
0.500 0.500 0.291 Er
0.000 0.000 0.493 Al
```

Computed properties:
- Symmetry: P4mm, No. 99
- Fermi-level density of states: 4.0 states/eV/cell
- Excess energy over the best structure of this formula in the dataset: 0.0 kJ/mol of formula units
- Energy of formation from the pure elements: -0.186 eV per atom

=====

Here is LaTbErAl after structural relaxation from Alexandria via LeMat-Bulk. Energies are from PBE.

POSCAR file:
```
LaTbErAl
1.0
0.000 3.843 3.843
3.843 0.000 3.843
3.843 3.843 0.000
La Tb Er Al
1 1 1 1
direct
0.000 0.000 0.000 La
0.500 0.500 0.500 Tb
0.750 0.750 0.750 Er
0.250 0.250 0.250 Al
```

Computed properties:
- Symmetry: F-43m, No. 216
- Fermi-level density of states: 6.9 states/eV/cell
- Excess energy over the best structure of this formula in the dataset: 44.5 kJ/mol of formula units
- Energy of formation from the pure elements: -0.071 eV per atom

=====

Here is LaErTmAl after structural relaxation from Alexandria via LeMat-Bulk. Energies are from PBE.

POSCAR file:
```
LaErTmAl
1.0
3.523 0.000 0.000
0.000 3.523 0.000
0.000 0.000 9.131
La Er Tm Al
1 1 1 1
direct
0.000 0.000 0.000 La
0.500 0.500 0.703 Er
0.500 0.500 0.294 Tm
0.000 0.000 0.497 Al
```

Computed properties:
- Symmetry: P4mm, No. 99
- Fermi-level density of states: 3.7 states/eV/cell
- Excess energy over the best structure of this formula in the dataset: 0.0 kJ/mol of formula units
- Energy of formation from the pure elements: -0.192 eV per atom

=====

Here is LaErTmAl after structural relaxation from Alexandria via LeMat-Bulk. Energies are from PBE.

POSCAR file:
```
LaErTmAl
1.0
0.000 3.819 3.819
3.819 0.000 3.819
3.819 3.819 0.000
La Er Tm Al
1 1 1 1
direct
0.000 0.000 0.000 La
0.500 0.500 0.500 Er
0.750 0.750 0.750 Tm
0.250 0.250 0.250 Al
```

Computed properties:
- Symmetry: F-43m, No. 216
- Fermi-level density of states: 6.7 states/eV/cell
- Excess energy over the best structure of this formula in the dataset: 46.0 kJ/mol of formula units
- Energy of formation from the pure elements: -0.073 eV per atom

=====

Here is LaYErAl after structural relaxation from Alexandria via LeMat-Bulk. Energies are from PBE.

POSCAR file:
```
LaYErAl
1.0
0.000 3.845 3.845
3.845 0.000 3.845
3.845 3.845 0.000
La Y Er Al
1 1 1 1
direct
0.000 0.000 0.000 La
0.500 0.500 0.500 Y
0.750 0.750 0.750 Er
0.250 0.250 0.250 Al
```

Computed properties:
- Symmetry: F-43m, No. 216
- Fermi-level density of states: 6.3 states/eV/cell
- Excess energy over the best structure of this formula in the dataset: 46.0 kJ/mol of formula units
- Energy of formation from the pure elements: -0.077 eV per atom

=====

Here is LaYErAl after structural relaxation from Alexandria via LeMat-Bulk. Energies are from PBE.

POSCAR file:
```
LaYErAl
1.0
3.549 0.000 0.000
0.000 3.549 0.000
0.000 0.000 9.157
La Y Er Al
1 1 1 1
direct
0.000 0.000 0.000 La
0.500 0.500 0.700 Y
0.500 0.500 0.291 Er
0.000 0.000 0.493 Al
```

Computed properties:
- Symmetry: P4mm, No. 99
- Fermi-level density of states: 3.9 states/eV/cell
- Excess energy over the best structure of this formula in the dataset: 0.0 kJ/mol of formula units
- Energy of formation from the pure elements: -0.197 eV per atom

=====

Here is LiEr5Al4 after structural relaxation from Alexandria via LeMat-Bulk. Energies are from PBE.

POSCAR file:
```
LiEr5Al4
1.0
3.548 0.000 0.000
0.000 3.548 0.000
0.000 0.000 18.336
Li Er Al
1 5 4
direct
0.000 0.000 0.000 Li
0.500 0.500 0.109 Er
0.500 0.500 0.304 Er
0.500 0.500 0.500 Er
0.500 0.500 0.696 Er
0.500 0.500 0.891 Er
0.000 0.000 0.204 Al
0.000 0.000 0.402 Al
0.000 0.000 0.598 Al
0.000 0.000 0.796 Al
```

Computed properties:
- Symmetry: P4/mmm, No. 123
- Fermi-level density of states: 3.5 states/eV/cell
- Energy of formation from the pure elements: -0.310 eV per atom

=====

Here is LiErAl2 after structural relaxation from Alexandria via LeMat-Bulk. Energies are from PBE.

POSCAR file:
```
LiErAl2
1.0
0.000 3.414 3.414
3.414 0.000 3.414
3.414 3.414 0.000
Li Er Al
1 1 2
direct
0.000 0.000 0.000 Li
0.500 0.500 0.500 Er
0.250 0.250 0.250 Al
0.750 0.750 0.750 Al
```

Computed properties:
- Symmetry: Fm-3m, No. 225
- Fermi-level density of states: 0.6 states/eV/cell
- Excess energy over the best structure of this formula in the dataset: 10.1 kJ/mol of formula units
- Energy of formation from the pure elements: -0.236 eV per atom

=====

Here is LiEr6Al2 after structural relaxation from Alexandria via LeMat-Bulk. Energies are from PBE.

POSCAR file:
```
LiEr6Al2
1.0
7.905 -3.580 0.000
7.905 3.580 0.000
-1.543 0.000 4.701
Li Er Al
1 6 2
direct
0.000 0.000 0.000 Li
0.083 0.582 0.832 Er
0.255 0.745 0.500 Er
0.418 0.917 0.168 Er
0.582 0.083 0.832 Er
0.745 0.255 0.500 Er
0.917 0.418 0.168 Er
0.333 0.333 0.333 Al
0.667 0.667 0.667 Al
```

Computed properties:
- Symmetry: C2/m, No. 12
- Fermi-level density of states: 11.3 states/eV/cell
- Energy of formation from the pure elements: 0.157 eV per atom

=====

Here is LiEr4Al2 after structural relaxation from Alexandria via LeMat-Bulk. Energies are from PBE.

POSCAR file:
```
LiEr4Al2
1.0
2.538 1.465 8.121
-2.538 1.465 8.121
0.000 -2.931 8.121
Li Er Al
1 4 2
direct
0.000 0.000 0.000 Li
0.130 0.130 0.130 Er
0.382 0.382 0.382 Er
0.618 0.618 0.618 Er
0.870 0.870 0.870 Er
0.255 0.255 0.255 Al
0.745 0.745 0.745 Al
```

Computed properties:
- Symmetry: R-3m, No. 166
- Fermi-level density of states: 8.9 states/eV/cell
- Energy of formation from the pure elements: -0.139 eV per atom

=====

Here is LiEr4Al3 after structural relaxation from Alexandria via LeMat-Bulk. Energies are from PBE.

POSCAR file:
```
LiEr4Al3
1.0
0.000 3.551 7.327
3.546 0.000 7.327
3.546 3.551 0.000
Li Er Al
1 4 3
direct
0.000 0.000 0.000 Li
0.127 0.127 0.373 Er
0.373 0.373 0.127 Er
0.627 0.627 0.873 Er
0.873 0.873 0.627 Er
0.248 0.248 0.752 Al
0.500 0.500 0.500 Al
0.752 0.752 0.248 Al
```

Computed properties:
- Symmetry: Fmmm, No. 69
- Fermi-level density of states: 3.7 states/eV/cell
- Energy of formation from the pure elements: -0.324 eV per atom

=====

Here is LiErAl6 after structural relaxation from Alexandria via LeMat-Bulk. Energies are from PBE.

POSCAR file:
```
LiErAl6
1.0
6.049 0.000 0.000
-3.024 5.238 0.000
0.000 0.000 4.595
Li Er Al
1 1 6
direct
0.000 0.000 0.000 Li
0.667 0.333 0.500 Er
0.031 0.516 0.000 Al
0.165 0.330 0.500 Al
0.165 0.835 0.500 Al
0.484 0.516 0.000 Al
0.484 0.969 0.000 Al
0.670 0.835 0.500 Al
```

Computed properties:
- Symmetry: P-6m2, No. 187
- Fermi-level density of states: 1.9 states/eV/cell
- Energy of formation from the pure elements: -0.201 eV per atom